Compound: CeAlSi2Pd5
Source: Alexandria via LeMat-Bulk
Functional: PBE
Structure: optimized geometry

The structure belongs to space group P4/mmm (No. 123); the cell edges are 4.075, 4.075 and 10.315 Å and the angles 90.00°, 90.00° and 90.00°. The asymmetric unit holds Ce at (0.000, 0.000, 0.000), Al at (0.000, 0.000, 0.500), Si at (0.500, 0.500, 0.227), Pd at (0.000, 0.500, 0.350) and Pd at (0.500, 0.500, 0.000).

As for the energy: -5.762 eV per atom. The uncorrected formation energy is -518.2 kJ/mol of formula units.